Record 1
DFT (GGA-PBE) results for CsMgBiPd after structural relaxation.

Computed properties:
E above lowest polymorph ... 116 meV per atom
SG ... F-43m, No. 216

Unit cell a=5.507 b=5.507 c=5.507 alpha=60.00 beta=60.00 gamma=60.00
Positions (direct):
1 Mg 0.750 0.750 0.750
2 Cs 0.250 0.250 0.250
3 Pd 0.500 0.500 0.500
4 Bi 0.000 0.000 0.000


Record 2
DFT (GGA-PBE) results for CsMgBiPd after structural relaxation.

Computed properties:
E above lowest polymorph ... 97 meV per atom
SG ... F-43m, No. 216

Unit cell a=5.380 b=5.380 c=5.380 alpha=60.00 beta=60.00 gamma=60.00
Positions (direct):
1 Mg 0.750 0.750 0.750
2 Pd 0.500 0.500 0.500
3 Bi 0.250 0.250 0.250
4 Cs 0.000 0.000 0.000


Record 3
DFT (GGA-PBE) results for CsBi5Mo3 after structural relaxation.

Computed properties:
SG ... P6/mmm, No. 191

Unit cell a=5.741 b=5.741 c=9.383 alpha=90.00 beta=90.00 gamma=120.00
Positions (direct):
1 Bi 0.667 0.333 0.760
2 Mo 0.500 0.500 0.500
3 Bi 0.000 0.000 0.500
4 Mo 0.000 0.500 0.500
5 Cs 0.000 0.000 0.000
6 Bi 0.667 0.333 0.240
7 Bi 0.333 0.667 0.240
8 Bi 0.333 0.667 0.760
9 Mo 0.500 0.000 0.500


Record 4
DFT (GGA-PBE) results for CsNdBiSe3 after structural relaxation.

Computed properties:
SG ... Cmcm, No. 63

Unit cell a=8.633 b=8.633 c=12.210 alpha=90.00 beta=90.00 gamma=148.65
Positions (direct):
1 Se 0.886 0.114 0.012
2 Nd 0.500 0.500 0.000
3 Se 0.504 0.496 0.250
4 Se 0.886 0.114 0.488
5 Nd 0.500 0.500 0.500
6 Cs 0.202 0.798 0.250
7 Se 0.496 0.504 0.750
8 Bi 0.911 0.089 0.250
9 Se 0.114 0.886 0.988
10 Bi 0.089 0.911 0.750
11 Cs 0.798 0.202 0.750
12 Se 0.114 0.886 0.512


Record 5
DFT (GGA-PBE) results for CsNpBi after structural relaxation.

Computed properties:
SG ... F-43m, No. 216

Unit cell a=5.628 b=5.628 c=5.628 alpha=60.00 beta=60.00 gamma=60.00
Last column: magnetic moment on the atom in μB.
Positions (direct):
1 Cs 0.000 0.000 0.000  0.03
2 Bi 0.750 0.750 0.750  -0.14
3 Np 0.250 0.250 0.250  4.66


Record 6
DFT (GGA-PBE) results for CsBiOs after structural relaxation.

Computed properties:
SG ... F-43m, No. 216

Unit cell a=5.224 b=5.224 c=5.224 alpha=60.00 beta=60.00 gamma=60.00
Positions (direct):
1 Os 0.750 0.750 0.750
2 Bi 0.000 0.000 0.000
3 Cs 0.250 0.250 0.250


Record 7
DFT (GGA-PBE) results for Cs2Bi2Pd after structural relaxation.

Computed properties:
E above lowest polymorph ... 2 meV per atom
SG ... Cmcm, No. 63

Unit cell a=8.666 b=8.666 c=6.924 alpha=90.00 beta=90.00 gamma=128.31
Positions (direct):
1 Bi 0.904 0.701 0.250
2 Cs 0.805 0.195 0.250
3 Bi 0.701 0.904 0.750
4 Bi 0.299 0.096 0.250
5 Pd 0.000 0.000 0.000
6 Cs 0.397 0.603 0.250
7 Cs 0.195 0.805 0.750
8 Cs 0.603 0.397 0.750
9 Bi 0.096 0.299 0.750
10 Pd 0.000 0.000 0.500


Record 8
DFT (GGA-PBE) results for Cs2Bi2Pd3 after structural relaxation.

Computed properties:
SG ... R3m, No. 160

Unit cell a=12.359 b=12.359 c=12.359 alpha=22.08 beta=22.08 gamma=22.08
Positions (direct):
1 Pd 0.849 0.849 0.849
2 Pd 0.349 0.349 0.349
3 Pd 0.661 0.661 0.661
4 Bi 0.004 0.004 0.004
5 Bi 0.504 0.504 0.504
6 Cs 0.252 0.252 0.252
7 Cs 0.756 0.756 0.756


| no. | calculated total energy (eV per atom) |
| --- | --- |
| 1 | -2.65 |
| 2 | -2.67 |
| 3 | -5.79 |
| 4 | -4.43 |
| 5 | -4.84 |
| 6 | -3.59 |
| 7 | -3.40 |
| 8 | -3.81 |